No. 1
{"formula": "TlTcMo2", "functional": "GGA-PBE", "state": "relaxed", "formation_energy_mev_per_atom": 530, "polymorph_energy_ev_per_atom": 0.1160, "total_magnetization_mub_per_fu": 0.0, "cell": [[-1.632, 2.295, 4.547], [1.632, -2.295, 4.547], [1.632, 2.295, -4.547]], "species": ["Tl", "Tc", "Mo", "Mo"], "frac_coords": [[0.000, 0.000, 0.000], [0.735, 0.235, 0.500], [0.268, 0.768, 0.500], [0.498, 0.498, 0.000]]}

=====

No. 2
{"formula": "KRb2I6Br", "functional": "GGA-PBE", "state": "relaxed", "e_form_raw_kj_per_mol_atoms": -63.32, "total_magnetization_mub_per_fu": 0.0, "cell": [[-4.331, 4.331, 7.164], [4.331, -4.331, 7.164], [4.331, 4.331, -7.164]], "species": ["K", "Rb", "Rb", "I", "I", "I", "I", "I", "I", "Br"], "frac_coords": [[0.000, 0.000, 0.000], [0.250, 0.750, 0.500], [0.750, 0.250, 0.500], [0.231, 0.231, 0.000], [0.273, 0.273, 0.547], [0.273, 0.727, 0.000], [0.727, 0.273, 0.000], [0.727, 0.727, 0.453], [0.769, 0.769, 0.000], [0.500, 0.500, 0.000]]}

=====

No. 3
{"formula": "YIn", "functional": "GGA-PBE", "state": "relaxed", "formation_energy_mev_per_atom": 669, "total_magnetization_mub_per_fu": 0.7, "cell": [[0.000, 3.495, 3.495], [3.495, 0.000, 3.495], [3.495, 3.495, 0.000]], "species": ["Y", "In"], "frac_coords": [[0.000, 0.000, 0.000], [0.250, 0.250, 0.250]]}

=====

No. 4
{"formula": "Tb2PmPr2Nd2", "functional": "GGA-PBE", "state": "relaxed", "formation_energy_mev_per_atom": 14, "total_magnetization_mub_per_fu": 0.0, "cell": [[5.764, -2.582, 0.000], [5.764, 2.582, 0.000], [-1.150, 0.000, 8.107]], "species": ["Tb", "Tb", "Pm", "Pr", "Pr", "Nd", "Nd"], "frac_coords": [[0.072, 0.072, 0.212], [0.928, 0.928, 0.788], [0.500, 0.500, 0.500], [0.214, 0.214, 0.643], [0.786, 0.786, 0.357], [0.358, 0.358, 0.072], [0.642, 0.642, 0.928]]}

=====

No. 5
{"formula": "TiCuAsO6", "functional": "GGA-PBE", "state": "relaxed", "e_form_raw_kj_per_mol_atoms": -136.44, "total_magnetization_mub_per_fu": 2.0, "cell": [[4.996, 0.000, 0.000], [-2.498, 4.327, 0.000], [0.000, 0.000, 8.637]], "species": ["Ti", "Ti", "Cu", "Cu", "As", "As", "O", "O", "O", "O", "O", "O", "O", "O", "O", "O", "O", "O"], "frac_coords": [[0.333, 0.667, 0.250], [0.667, 0.333, 0.750], [0.000, 0.000, 0.000], [0.000, 0.000, 0.500], [0.333, 0.667, 0.750], [0.667, 0.333, 0.250], [0.016, 0.361, 0.632], [0.016, 0.656, 0.868], [0.344, 0.361, 0.868], [0.344, 0.984, 0.632], [0.361, 0.016, 0.132], [0.361, 0.344, 0.368], [0.639, 0.656, 0.632], [0.639, 0.984, 0.868], [0.656, 0.016, 0.368], [0.656, 0.639, 0.132], [0.984, 0.344, 0.132], [0.984, 0.639, 0.368]]}

=====

No. 6
{"formula": "SrCaSe", "functional": "GGA-PBE", "state": "relaxed", "e_form_raw_kj_per_mol_atoms": -123.30, "polymorph_energy_ev_per_atom": 0.0000, "total_magnetization_mub_per_fu": 0.0, "cell": [[12.226, 0.000, 0.000], [0.000, 2.979, 2.979], [0.000, -2.979, 2.979]], "species": ["Sr", "Sr", "Ca", "Ca", "Se", "Se"], "frac_coords": [[0.122, 0.250, 0.750], [0.878, 0.750, 0.250], [0.379, 0.749, 0.249], [0.621, 0.249, 0.749], [0.378, 0.249, 0.749], [0.622, 0.749, 0.249]]}

=====

No. 7
{"formula": "CeAl2GaCu4", "functional": "GGA-PBE", "state": "relaxed", "formation_energy_mev_per_atom": -211, "total_magnetization_mub_per_fu": 0.7, "cell": [[2.088, 1.205, 8.610], [-2.088, 1.205, 8.610], [0.000, -2.411, 8.610]], "species": ["Ce", "Al", "Al", "Ga", "Cu", "Cu", "Cu", "Cu"], "frac_coords": [[0.000, 0.000, 0.000], [0.245, 0.245, 0.245], [0.755, 0.755, 0.755], [0.500, 0.500, 0.500], [0.129, 0.129, 0.129], [0.404, 0.404, 0.404], [0.596, 0.596, 0.596], [0.871, 0.871, 0.871]]}

=====

No. 8
{"formula": "YZr2Pd2", "functional": "GGA-PBE", "state": "relaxed", "formation_energy_mev_per_atom": -506, "polymorph_energy_ev_per_atom": 0.0000, "total_magnetization_mub_per_fu": 0.0, "cell": [[7.876, 0.000, 0.000], [0.000, 7.876, 0.000], [0.000, 0.000, 3.422]], "species": ["Y", "Y", "Zr", "Zr", "Zr", "Zr", "Pd", "Pd", "Pd", "Pd"], "frac_coords": [[0.000, 0.000, 0.000], [0.500, 0.500, 0.000], [0.166, 0.334, 0.500], [0.334, 0.834, 0.500], [0.666, 0.166, 0.500], [0.834, 0.666, 0.500], [0.126, 0.626, 0.000], [0.374, 0.126, 0.000], [0.626, 0.874, 0.000], [0.874, 0.374, 0.000]]}